Record 1
This record from Alexandria describes a geometry-optimized VPbN3 structure. The functional is PBE.

Cell lengths 4.2611, 4.2611, 4.2611 Å; angles 90.00, 90.00, 90.00 degrees
Last column: nearest neighbours and their distance in Å.
Space group Pm-3m (No. 221)
Symmetry-distinct sites (fractional):
V1 0.0000 0.0000 0.0000 x1  12 N 3.01
Pb1 0.5000 0.5000 0.5000 x1  6 N 2.13
N1 0.0000 0.5000 0.5000 x3  2 Pb 2.13

Calculated values
ΔE_f (raw): 2177.3 meV per atom

***

Record 2
This record from Alexandria describes a geometry-optimized VPb3N structure. The functional is PBE.

Cell lengths 4.9609, 4.9609, 4.9609 Å; angles 90.00, 90.00, 90.00 degrees
Last column: nearest neighbours and their distance in Å.
Space group Pm-3m (No. 221)
Symmetry-distinct sites (fractional):
V1 0.0000 0.0000 0.0000 x1  12 Pb 3.51
Pb1 0.0000 0.5000 0.5000 x3  2 N 2.48
N1 0.5000 0.5000 0.5000 x1  6 Pb 2.48

Calculated values
Energy above the most stable polymorph in this dataset: 0.00 eV per formula unit
ΔE_f (raw): 928.2 meV per atom

***

Record 3
This record from Alexandria describes a geometry-optimized VPbN structure. The functional is PBE.

Cell lengths 5.6559, 3.2650, 6.0147 Å; angles 90.00, 108.08, 90.00 degrees
Last column: nearest neighbours and their distance in Å.
Space group Cm (No. 8)
Symmetry-distinct sites (fractional):
V1 0.0000 0.0000 0.0000 x2  3 N 1.89
Pb1 0.1786 0.0000 0.5337 x2  4 V 3.05-3.27, 6 Pb 3.27, 3 N 3.40-3.41
N1 0.1765 0.5000 0.0291 x2  3 V 1.89

Calculated values
ΔE_f (raw): -238.4 meV per atom